# BeCuRu2 | Alexandria | PBE-GGA | relaxed
data_BeCuRu2
_cell_length_a 2.7546
_cell_length_b 4.1680
_cell_length_c 8.6694
_cell_angle_alpha 90.00
_cell_angle_beta 90.00
_cell_angle_gamma 90.00
_space_group_name_H-M_alt 'P 1'
_space_group_IT_number 1
loop_
_space_group_symop_operation_xyz
'x,y,z'
loop_
_atom_site_label
_atom_site_fract_x
_atom_site_fract_y
_atom_site_fract_z
Be1 0.0000 0.0000 0.0000
Be2 0.5000 0.5000 0.5000
Cu1 0.0000 0.0000 0.5000
Cu2 0.5000 0.5000 0.0000
Ru1 0.0000 0.5000 0.2905
Ru2 0.0000 0.5000 0.7094
Ru3 0.5000 0.0000 0.2094
Ru4 0.5000 0.0000 0.7906
# total magnetic moment	0.00	μB per formula unit
# space group	Immm, No. 71
# raw total energy	-6.47	eV/atom

# HgPb2Br6 | Alexandria | PBE-GGA | relaxed
data_HgPb2Br6
_cell_length_a 8.1037
_cell_length_b 8.1037
_cell_length_c 10.2524
_cell_angle_alpha 102.78
_cell_angle_beta 102.78
_cell_angle_gamma 31.19
_space_group_name_H-M_alt 'P 1'
_space_group_IT_number 1
loop_
_space_group_symop_operation_xyz
'x,y,z'
loop_
_atom_site_label
_atom_site_fract_x
_atom_site_fract_y
_atom_site_fract_z
Hg1 0.0000 0.0000 0.0000
Pb1 0.3369 0.3369 0.6723
Pb2 0.6631 0.6631 0.3277
Br1 0.0193 0.0193 0.2813
Br2 0.3028 0.3028 0.3585
Br3 0.3716 0.3716 0.9737
Br4 0.6284 0.6284 0.0263
Br5 0.6972 0.6972 0.6415
Br6 0.9807 0.9807 0.7187
# total magnetic moment	0.00	μB per formula unit
# energy above the lowest structure with this stoichiometry	0.000	eV/atom
# space group	C2/m, No. 12
# ΔE_f (raw)	-0.736	eV per atom
# raw total energy	-2.71	eV/atom

# CsPuH2Cl8 | Alexandria | PBE-GGA | relaxed
data_CsPuH2Cl8
_cell_length_a 6.9011
_cell_length_b 7.0138
_cell_length_c 9.6103
_cell_angle_alpha 93.64
_cell_angle_beta 109.43
_cell_angle_gamma 103.63
_space_group_name_H-M_alt 'P 1'
_space_group_IT_number 1
loop_
_space_group_symop_operation_xyz
'x,y,z'
loop_
_atom_site_label
_atom_site_fract_x
_atom_site_fract_y
_atom_site_fract_z
Cs1 0.0000 0.0000 0.0000
Pu1 0.5000 0.0000 0.5000
H1 0.0107 0.4371 0.7337
H2 0.9893 0.5629 0.2663
Cl1 0.1598 0.4953 0.8666
Cl2 0.1742 0.1218 0.3924
Cl3 0.2616 0.6587 0.4833
Cl4 0.4885 0.9094 0.2371
Cl5 0.5115 0.0906 0.7629
Cl6 0.7384 0.3413 0.5167
Cl7 0.8258 0.8782 0.6076
Cl8 0.8402 0.5047 0.1334
# total magnetic moment	3.00	μB per formula unit
# space group	P-1, No. 2
# raw total energy	-4.30	eV/atom

# LiTmRe2O8 | Alexandria | PBE-GGA | relaxed
data_LiTmRe2O8
_cell_length_a 5.9320
_cell_length_b 5.9320
_cell_length_c 6.2081
_cell_angle_alpha 90.00
_cell_angle_beta 90.00
_cell_angle_gamma 120.00
_space_group_name_H-M_alt 'P 1'
_space_group_IT_number 1
loop_
_space_group_symop_operation_xyz
'x,y,z'
loop_
_atom_site_label
_atom_site_fract_x
_atom_site_fract_y
_atom_site_fract_z
Li1 0.0000 0.0000 0.0000
Tm1 0.0000 0.0000 0.5000
Re1 0.3333 0.6667 0.8183
Re2 0.6667 0.3333 0.1817
O1 0.1646 0.3292 0.7292
O2 0.1646 0.8354 0.7292
O3 0.3292 0.1646 0.2708
O4 0.3333 0.6667 0.1003
O5 0.6667 0.3333 0.8997
O6 0.6708 0.8354 0.7292
O7 0.8354 0.1646 0.2708
O8 0.8354 0.6708 0.2708
# total magnetic moment	2.04	μB per formula unit
# space group	P-3m1, No. 164
# ΔE_f (raw)	-1.944	eV per atom
# raw total energy	-7.86	eV/atom

# Tl6Ga3Br14 | Alexandria | PBE-GGA | relaxed
data_Tl6Ga3Br14
_cell_length_a 12.2450
_cell_length_b 12.2450
_cell_length_c 6.5238
_cell_angle_alpha 90.00
_cell_angle_beta 90.00
_cell_angle_gamma 120.00
_space_group_name_H-M_alt 'P 1'
_space_group_IT_number 1
loop_
_space_group_symop_operation_xyz
'x,y,z'
loop_
_atom_site_label
_atom_site_fract_x
_atom_site_fract_y
_atom_site_fract_z
Tl1 0.0055 0.5594 0.0000
Tl2 0.3265 0.1093 0.4791
Tl3 0.4406 0.4461 0.0000
Tl4 0.5539 0.9945 0.0000
Tl5 0.7828 0.6735 0.4791
Tl6 0.8907 0.2172 0.4791
Ga1 0.0000 0.0000 0.8947
Ga2 0.3333 0.6667 0.4146
Ga3 0.6667 0.3333 0.7390
Br1 0.0000 0.0000 0.2553
Br2 0.0745 0.8669 0.7703
Br3 0.1331 0.2077 0.7703
Br4 0.1979 0.4598 0.2887
Br5 0.2619 0.8021 0.2887
Br6 0.3333 0.6667 0.7746
Br7 0.4449 0.1839 0.9701
Br8 0.5191 0.4079 0.5099
Br9 0.5402 0.7381 0.2887
Br10 0.5921 0.1112 0.5099
Br11 0.7390 0.5551 0.9701
Br12 0.7923 0.9255 0.7703
Br13 0.8161 0.2610 0.9701
Br14 0.8888 0.4809 0.5099
# total magnetic moment	0.72	μB per formula unit
# space group	P3, No. 143
# ΔE_f (raw)	-0.831	eV per atom
# raw total energy	-2.86	eV/atom

# Na2Pb | Alexandria | PBE-GGA | relaxed
data_Na2Pb
_cell_length_a 3.9766
_cell_length_b 3.9766
_cell_length_c 11.1097
_cell_angle_alpha 90.00
_cell_angle_beta 90.00
_cell_angle_gamma 90.00
_space_group_name_H-M_alt 'P 1'
_space_group_IT_number 1
loop_
_space_group_symop_operation_xyz
'x,y,z'
loop_
_atom_site_label
_atom_site_fract_x
_atom_site_fract_y
_atom_site_fract_z
Na1 0.0000 0.0000 0.1614
Na2 0.0000 0.0000 0.8386
Na3 0.5000 0.5000 0.3386
Na4 0.5000 0.5000 0.6614
Pb1 0.0000 0.0000 0.5000
Pb2 0.5000 0.5000 0.0000
# total magnetic moment	0.00	μB per formula unit
# space group	I4/mmm, No. 139
# raw total energy	-2.25	eV/atom

# PdPb2S | Alexandria | PBE-GGA | relaxed
data_PdPb2S
_cell_length_a 6.5252
_cell_length_b 6.5252
_cell_length_c 11.9707
_cell_angle_alpha 90.00
_cell_angle_beta 90.00
_cell_angle_gamma 90.00
_space_group_name_H-M_alt 'P 1'
_space_group_IT_number 1
loop_
_space_group_symop_operation_xyz
'x,y,z'
loop_
_atom_site_label
_atom_site_fract_x
_atom_site_fract_y
_atom_site_fract_z
Pd1 0.0000 0.0000 0.0000
Pd2 0.0000 0.5000 0.2500
Pd3 0.5000 0.0000 0.7500
Pd4 0.5000 0.5000 0.5000
Pb1 0.2364 0.2500 0.1250
Pb2 0.2500 0.7364 0.3750
Pb3 0.2500 0.7636 0.8750
Pb4 0.2636 0.2500 0.6250
Pb5 0.7364 0.7500 0.6250
Pb6 0.7500 0.2364 0.8750
Pb7 0.7500 0.2636 0.3750
Pb8 0.7636 0.7500 0.1250
S1 0.0000 0.0000 0.5000
S2 0.0000 0.5000 0.7500
S3 0.5000 0.0000 0.2500
S4 0.5000 0.5000 0.0000
# total magnetic moment	0.00	μB per formula unit
# space group	I-42d, No. 122
# ΔE_f (raw)	-0.081	eV per atom
# raw total energy	-4.27	eV/atom

# Ti2InHgH | Alexandria | PBE-GGA | relaxed
data_Ti2InHgH
_cell_length_a 4.1000
_cell_length_b 4.1000
_cell_length_c 4.6073
_cell_angle_alpha 90.00
_cell_angle_beta 90.00
_cell_angle_gamma 90.00
_space_group_name_H-M_alt 'P 1'
_space_group_IT_number 1
loop_
_space_group_symop_operation_xyz
'x,y,z'
loop_
_atom_site_label
_atom_site_fract_x
_atom_site_fract_y
_atom_site_fract_z
Ti1 0.0000 0.5000 0.0000
Ti2 0.5000 0.0000 0.0000
In1 0.0000 0.0000 0.5000
Hg1 0.5000 0.5000 0.5000
H1 0.5000 0.5000 0.0000
# total magnetic moment	0.00	μB per formula unit
# energy above the lowest structure with this stoichiometry	0.000	eV/atom
# space group	P4/mmm, No. 123
# raw total energy	-4.51	eV/atom

Repeat the eighth record exactly.
# Ti2InHgH | Alexandria | PBE-GGA | relaxed
data_Ti2InHgH
_cell_length_a 4.1000
_cell_length_b 4.1000
_cell_length_c 4.6073
_cell_angle_alpha 90.00
_cell_angle_beta 90.00
_cell_angle_gamma 90.00
_space_group_name_H-M_alt 'P 1'
_space_group_IT_number 1
loop_
_space_group_symop_operation_xyz
'x,y,z'
loop_
_atom_site_label
_atom_site_fract_x
_atom_site_fract_y
_atom_site_fract_z
Ti1 0.0000 0.5000 0.0000
Ti2 0.5000 0.0000 0.0000
In1 0.0000 0.0000 0.5000
Hg1 0.5000 0.5000 0.5000
H1 0.5000 0.5000 0.0000
# total magnetic moment	0.00	μB per formula unit
# energy above the lowest structure with this stoichiometry	0.000	eV/atom
# space group	P4/mmm, No. 123
# raw total energy	-4.51	eV/atom

Question: Among the records above, which one has the highest raw total energy?
Answer: Na2Pb